(1)
# MgCuTcSnOsC, relaxed, DFT PBE
data_MgCuTcSnOsC
_chemical_formula_sum 'Mg2 Cu2 Tc2 Sn2 Os2 C2'
_cell_length_a 9.4328
_cell_length_b 3.2414
_cell_length_c 7.0594
_cell_angle_alpha 90.00
_cell_angle_beta 125.64
_cell_angle_gamma 90.00
_space_group_name_H-M_alt 'C 1 m 1'
_space_group_IT_number 8
_space_group_name_Hall 'C -2y'
loop_
_atom_site_label
_atom_site_fract_x
_atom_site_fract_y
_atom_site_fract_z
Mg1 0.0000 0.0000 0.0000
Cu1 0.2149 0.0000 0.8207
Tc1 0.3274 0.5000 0.2315
Sn1 0.1235 0.5000 0.4364
Os1 0.4076 0.0000 0.6085
C1 0.1275 0.5000 0.9163
# magnetic moment = 0.00 μB/cell
# crystal system = monoclinic
# ΔH_f (0 K) = 234 meV/atom
# calculated total energy = -78.2 eV/cell
# polymorph energy (0 for the lowest one) = 9 meV per atom


(2)
# SmTc2O6, relaxed, DFT PBE
data_SmTc2O6
_chemical_formula_sum 'Sm2 Tc4 O12'
_cell_length_a 10.1829
_cell_length_b 3.9223
_cell_length_c 7.1087
_cell_angle_alpha 90.00
_cell_angle_beta 119.99
_cell_angle_gamma 90.00
_space_group_name_H-M_alt 'C 1 2/m 1'
_space_group_IT_number 12
_space_group_name_Hall '-C 2y'
loop_
_atom_site_label
_atom_site_fract_x
_atom_site_fract_y
_atom_site_fract_z
Sm1 0.0000 0.0000 0.0000
Tc1 0.1782 0.0000 0.6034
O1 0.0189 0.0000 0.6784
O2 0.1546 0.5000 0.1087
O3 0.2154 0.5000 0.5773
# magnetic moment = 2.07 μB/cell
# ΔE_f (raw) = -1856.2 meV/atom
# crystal system = monoclinic
# calculated total energy = -143.8 eV/cell